[1]
VASP calculation (PBE) on a geometry-optimized BaOs2Rh structure.

Cell lengths 2.955, 2.955, 8.715 Å; angles 90.00, 90.00, 90.00 degrees
Positions (direct):
Rh 0.500 0.500 0.000
Os 0.000 0.000 0.191
Ba 0.500 0.500 0.500
Os 0.000 0.000 0.809

Output
calculated volume	76	Å³/cell
VASP energy	-28.04	eV per cell
polymorph energy (0 for the lowest one)	610	meV/atom
DFT formation energy	0.92	eV/atom
Fermi-level density of states	6.1	states/eV/f.u.
crystal system	tetragonal


[2]
VASP calculation (PBE) on a geometry-optimized YNpSe3 structure.

Cell lengths 4.093, 7.694, 15.782 Å; angles 90.00, 90.00, 90.00 degrees
Each line ends with the local moment (μB).
Positions (direct):
Y 0.750 0.235 0.458  0.02
Se 0.250 0.377 0.567  -0.04
Se 0.250 0.147 0.780  -0.08
Se 0.750 0.993 0.608  -0.04
Se 0.250 0.507 0.108  -0.04
Y 0.750 0.735 0.042  0.02
Y 0.250 0.765 0.542  0.02
Se 0.750 0.853 0.220  -0.08
Se 0.250 0.877 0.933  -0.04
Np 0.750 0.362 0.707  3.90
Se 0.250 0.007 0.392  -0.04
Y 0.250 0.265 0.958  0.02
Se 0.750 0.123 0.067  -0.04
Np 0.750 0.862 0.793  3.90
Np 0.250 0.138 0.207  3.90
Se 0.750 0.623 0.433  -0.04
Se 0.750 0.353 0.280  -0.08
Se 0.750 0.493 0.892  -0.04
Np 0.250 0.638 0.293  3.90
Se 0.250 0.647 0.720  -0.08

Output
uncorrected formation energy	-1.521	eV/atom
calculated volume	497	Å³/cell
VASP energy	-149.86	eV per cell
polymorph energy (0 for the lowest one)	0	meV/atom
Fermi-level density of states	7.3	states/eV/f.u.
crystal system	orthorhombic


[3]
VASP calculation (PBE) on a geometry-optimized BaNaTl2Pt structure.

Cell lengths 5.362, 5.362, 5.494 Å; angles 90.00, 90.00, 90.00 degrees
Positions (direct):
Na 0.000 0.000 0.500
Ba 0.500 0.500 0.500
Tl 0.500 0.000 0.000
Tl 0.000 0.500 0.000
Pt 0.000 0.000 0.000

Output
calculated volume	158	Å³/cell
VASP energy	-15.12	eV per cell
polymorph energy (0 for the lowest one)	136	meV/atom
DFT formation energy	-0.22	eV/atom
Fermi-level density of states	4.2	states/eV/f.u.
crystal system	tetragonal


[4]
VASP calculation (PBE) on a geometry-optimized Tm2BiS4 structure.

Cell lengths 8.250, 8.115, 8.249 Å; angles 120.54, 119.99, 90.02 degrees
Positions (direct):
Tm 0.125 0.375 0.750
S 0.389 0.167 0.778
S 0.826 0.613 0.219
Tm 0.625 0.375 0.250
S 0.857 0.138 0.281
Tm 0.625 0.375 0.750
S 0.393 0.612 0.219
Bi 0.209 0.626 0.417
Tm 0.625 0.875 0.250
S 0.861 0.583 0.722
S 0.393 0.613 0.787
Bi 0.041 0.124 0.083
S 0.857 0.138 0.714
S 0.424 0.137 0.281

Output
uncorrected formation energy	-1.484	eV/atom
calculated volume	387	Å³/cell
VASP energy	-79.44	eV per cell
crystal system	trigonal